# 1
## DyErSbI2 (GGA-PBE)

Data for crystalline DyErSbI2 at its relaxed geometry.

Properties
E_tot: -4.5154 eV/atom

abc: 4.3135 4.3135 11.1352
angles: 90.00 90.00 120.00
Last column: nearest neighbours and their distance in Å.
Fractional positions:
I 0.6667 0.3333 0.3250  3 Dy 3.16
I 0.0000 0.0000 0.6763  3 Er 3.15
Er 0.6667 0.3333 0.8499  3 Sb 2.99, 3 I 3.15
Dy 0.0000 0.0000 0.1506  3 Sb 3.01, 3 I 3.16
Sb 0.3333 0.6667 0.9982  3 Er 2.99, 3 Dy 3.01

# 2
## Dy2Er2SiI5 (GGA-PBE)

Data for crystalline Dy2Er2SiI5 at its relaxed geometry.

Properties
polymorph energy (0 for the lowest one): 0.002 eV/atom
E_tot: -4.2926 eV/atom

abc: 9.7417 9.7417 8.7482
angles: 102.61 102.61 24.78
Last column: nearest neighbours and their distance in Å.
Fractional positions:
I 0.8292 0.8292 0.1727  3 Dy 3.12-3.41, 1 Er 3.20
I 0.8337 0.8337 0.6615  2 Dy 3.08, 1 Er 3.11
I 0.1663 0.1663 0.3385  2 Dy 3.08, 1 Er 3.11
I 0.5000 0.5000 0.5000  4 Er 3.31
I 0.1708 0.1708 0.8273  3 Dy 3.12-3.41, 1 Er 3.20
Er 0.9995 0.9995 0.7927  2 Si 2.77
Er 0.0005 0.0005 0.2073  2 Si 2.77
Dy 0.3546 0.3546 0.9262  1 Si 2.70
Dy 0.6454 0.6454 0.0738  1 Si 2.70
Si 0.5000 0.5000 0.0000  2 Dy 2.70, 4 Er 2.77

# 3
## Dy2Er2SiI5 (GGA-PBE)

Data for crystalline Dy2Er2SiI5 at its relaxed geometry.

Properties
polymorph energy (0 for the lowest one): 0.000 eV/atom
E_tot: -4.2947 eV/atom

abc: 9.7555 9.7555 8.7449
angles: 102.48 102.48 24.71
Last column: nearest neighbours and their distance in Å.
Fractional positions:
Er 0.6438 0.6438 0.0732  1 Si 2.67
Er 0.3562 0.3562 0.9268  1 Si 2.67
Si 0.5000 0.5000 0.0000  2 Er 2.67, 4 Dy 2.78
I 0.1678 0.1678 0.3355  2 Er 3.06, 1 Dy 3.14
I 0.8322 0.8322 0.6645  2 Er 3.06, 1 Dy 3.14
I 0.1723 0.1723 0.8320  3 Er 3.10-3.42, 1 Dy 3.22
I 0.8277 0.8277 0.1680  3 Er 3.10-3.42, 1 Dy 3.22
I 0.5000 0.5000 0.5000  4 Dy 3.29
Dy 0.0001 0.0001 0.2098  2 Si 2.78
Dy 0.9999 0.9999 0.7902  2 Si 2.78

# 4
## DyErIn4 (GGA-PBE)

Data for crystalline DyErIn4 at its relaxed geometry.

Properties
E_tot: -3.7794 eV/atom

abc: 4.6327 7.4572 7.4572
angles: 35.85 90.00 90.00
Last column: nearest neighbours and their distance in Å.
Fractional positions:
Dy 0.0000 0.6556 0.6556  10 In 3.19-3.33, 2 Er 3.53
In 0.5000 0.8243 0.8243  6 In 3.11-3.40, 4 Er 3.27, 2 Dy 3.33
In 0.5000 0.1759 0.1759  6 In 3.11-3.41, 4 Dy 3.27, 2 Er 3.33
In 0.0000 0.9999 0.9999  2 Er 3.18, 2 Dy 3.19, 8 In 3.26-3.41
In 0.5000 0.4999 0.4999  2 Er 3.20, 2 Dy 3.20, 8 In 3.26-3.39
Er 0.0000 0.3444 0.3444  10 In 3.18-3.33, 2 Dy 3.53

# 5
## DyEr3In2 (GGA-PBE)

Data for crystalline DyEr3In2 at its relaxed geometry.

Properties
E_tot: -4.3112 eV/atom

abc: 5.3489 5.3489 6.6748
angles: 90.00 90.00 120.00
Last column: nearest neighbours and their distance in Å.
Fractional positions:
Er 0.6667 0.3333 0.2508  5 Er 3.33-3.51, 6 In 3.51, 3 Dy 3.51
Er 0.6667 0.3333 0.7492  5 Er 3.33-3.51, 6 In 3.51, 3 Dy 3.51
Er 0.3333 0.6667 0.5000  5 In 3.09-3.34
Dy 0.0000 0.0000 0.0000  5 In 3.09-3.34
In 0.0000 0.0000 0.5000  3 Er 3.09, 2 Dy 3.34
In 0.3333 0.6667 0.0000  3 Dy 3.09, 2 Er 3.34

# 6
## Dy2Er2In (GGA-PBE)

Data for crystalline Dy2Er2In at its relaxed geometry.

Properties
E_tot: -4.2036 eV/atom

abc: 8.1091 8.1091 4.5818
angles: 90.00 90.00 90.00
Last column: nearest neighbours and their distance in Å.
Fractional positions:
Dy 0.1524 0.6524 0.5000  6 Er 3.24-3.34, 1 Dy 3.50
Dy 0.3476 0.1524 0.5000  6 Er 3.24-3.34, 1 Dy 3.50
Dy 0.6524 0.8476 0.5000  6 Er 3.24-3.34, 1 Dy 3.50
Dy 0.8476 0.3476 0.5000  6 Er 3.24-3.34, 1 Dy 3.50
Er 0.1480 0.3520 0.0000  2 In 3.10, 6 Dy 3.24-3.34, 1 Er 3.39
Er 0.3520 0.8520 0.0000  2 In 3.10, 6 Dy 3.24-3.34, 1 Er 3.39
Er 0.8520 0.6480 0.0000  2 In 3.10, 6 Dy 3.24-3.34, 1 Er 3.39
Er 0.6480 0.1480 0.0000  2 In 3.10, 6 Dy 3.24-3.34, 1 Er 3.39
In 0.0000 0.0000 0.0000  4 Er 3.10
In 0.5000 0.5000 0.0000  4 Er 3.10

# 7
## DyErIn2 (GGA-PBE)

Data for crystalline DyErIn2 at its relaxed geometry.

Properties
E_tot: -4.0722 eV/atom

abc: 4.2896 6.1391 6.1391
angles: 43.34 90.00 90.00
Last column: nearest neighbours and their distance in Å.
Fractional positions:
Dy 0.0000 0.6382 0.6382  7 In 3.13-3.43
Er 0.5000 0.3621 0.3621  7 In 3.14-3.42
In 0.5000 0.0867 0.0867  2 In 2.92, 1 Er 3.14, 4 Dy 3.18
In 0.0000 0.9129 0.9129  2 In 2.92, 1 Dy 3.13, 4 Er 3.17

# 8
## Dy2ErIn (GGA-PBE)

Data for crystalline Dy2ErIn at its relaxed geometry.

Properties
E_tot: -4.3925 eV/atom

abc: 4.8114 4.8114 4.8382
angles: 90.00 90.00 90.00
Last column: nearest neighbours and their distance in Å.
Fractional positions:
Er 0.5000 0.5000 0.0000  4 In 3.40, 8 Dy 3.41
Dy 0.5000 0.0000 0.5000  4 Dy 3.40, 4 In 3.41, 4 Er 3.41
Dy 0.0000 0.5000 0.5000  4 Dy 3.40, 4 Er 3.41, 4 In 3.41
In 0.0000 0.0000 0.0000  4 Er 3.40, 8 Dy 3.41